Record 1
CsIn3Pd: optimized geometry, PBE.

POSCAR file:
```
CsIn3Pd
1.0
9.228 0.000 0.000
0.000 7.706 0.000
-1.886 0.000 9.636
Cs In Pd
4 12 4
Direct
0.131 0.122 0.208
0.131 0.378 0.708
0.869 0.622 0.292
0.869 0.878 0.792
0.204 0.653 0.080
0.204 0.847 0.580
0.339 0.556 0.387
0.339 0.944 0.887
0.471 0.109 0.630
0.471 0.391 0.130
0.529 0.609 0.870
0.529 0.891 0.370
0.661 0.056 0.113
0.661 0.444 0.613
0.796 0.153 0.420
0.796 0.347 0.920
0.494 0.744 0.613
0.494 0.756 0.113
0.506 0.244 0.887
0.506 0.256 0.387
```

E = -3.06 eV per atom
energy of formation = -0.2045 eV/atom
space group = P2_1/c
energy above the most stable polymorph in this dataset = 0 meV/atom
M_tot = 0.00 μB/atom

---

Record 2
Th6Si2GeSb3: optimized geometry, PBE.

POSCAR file:
```
Th6Si2GeSb3
1.0
9.643 -2.179 0.000
9.643 2.179 0.000
-2.243 0.000 8.574
Th Si Ge Sb
6 2 1 3
Direct
0.006 0.006 0.240
0.327 0.327 0.430
0.337 0.337 0.901
0.663 0.663 0.099
0.673 0.673 0.570
0.994 0.994 0.760
0.167 0.167 0.333
0.833 0.833 0.667
0.500 0.500 0.000
0.166 0.166 0.833
0.500 0.500 0.500
0.834 0.834 0.167
```

E = -6.87 eV per atom
formation energy (no corrections) = -0.838 eV per atom
space group = C2/m
M_tot = 0.00 μB/atom

---

Record 3
PrSmY5Th2: optimized geometry, PBE.

POSCAR file:
```
PrSmY5Th2
1.0
-4.478 4.478 7.637
4.478 -4.478 7.637
4.478 4.478 -7.637
Pr Sm Y Th
2 2 10 4
Direct
0.250 0.250 0.000
0.750 0.750 0.000
0.250 0.750 0.500
0.750 0.250 0.500
0.000 0.000 0.000
0.071 0.571 0.913
0.157 0.071 0.500
0.343 0.843 0.913
0.429 0.343 0.500
0.500 0.500 0.000
0.571 0.657 0.500
0.657 0.157 0.087
0.843 0.929 0.500
0.929 0.429 0.087
0.118 0.382 0.500
0.382 0.882 0.265
0.618 0.118 0.735
0.882 0.618 0.500
```

E = -5.98 eV per atom
energy of formation = 0.3124 eV/atom
space group = I4/mcm
M_tot = 0.00 μB/atom

---

Record 4
NiI4: optimized geometry, PBE.

POSCAR file:
```
NiI4
1.0
6.423 0.000 0.000
3.205 7.400 0.000
2.532 -0.251 9.307
Ni I
2 8
Direct
0.040 0.248 0.234
0.960 0.752 0.766
0.136 0.476 0.606
0.220 0.029 0.030
0.318 0.558 0.853
0.324 0.056 0.370
0.676 0.944 0.630
0.682 0.442 0.147
0.780 0.971 0.970
0.864 0.524 0.394
```

E = -2.36 eV per atom
formation energy (no corrections) = 0.038 eV per atom
space group = P-1
energy above the most stable polymorph in this dataset = 0 meV/atom
M_tot = 0.09 μB/atom